[1]
# BaSrZrBe2

A PBEsol-optimized structure of BaSrZrBe2 (meta-GGA SCAN, Alexandria via LeMat-Bulk).

Cell lengths 5.0321, 5.0321, 5.5180 Å; angles 90.00, 90.00, 90.00 degrees
With the nearest neighbours (Å) after each atom.
Atoms (fractional coordinates):
Ba 0.0000 0.0000 0.0000  4 Be 2.52, 2 Sr 2.76
Be 0.5000 0.0000 0.0000  2 Ba 2.52
Be 0.0000 0.5000 0.0000  2 Ba 2.52
Sr 0.0000 0.0000 0.5000  2 Ba 2.76
Zr 0.5000 0.5000 0.5000  4 Sr 3.56, 8 Be 3.73

Calculated values
Symmetry ... P4/mmm, No. 123
V ... 27.94 Å³/atom
DFT formation energy ... 1861.2 meV per atom

[2]
# BaInP3

A PBEsol-optimized structure of BaInP3 (meta-GGA SCAN, Alexandria via LeMat-Bulk).

Cell lengths 5.0610, 5.0610, 5.0610 Å; angles 90.00, 90.00, 90.00 degrees
With the nearest neighbours (Å) after each atom.
Atoms (fractional coordinates):
Ba 0.5000 0.5000 0.5000  12 P 3.58
In 0.0000 0.0000 0.0000  6 P 2.53
P 0.5000 0.0000 0.0000  2 In 2.53
P 0.0000 0.0000 0.5000  2 In 2.53
P 0.0000 0.5000 0.0000  2 In 2.53

Calculated values
Symmetry ... Pm-3m, No. 221
V ... 25.93 Å³/atom
DFT formation energy ... 145.2 meV per atom

[3]
# Ba2Na2SrAl4F20

A PBEsol-optimized structure of Ba2Na2SrAl4F20 (meta-GGA SCAN, Alexandria via LeMat-Bulk).

Cell lengths 5.2513, 7.0498, 20.1733 Å; angles 90.00, 90.00, 89.82 degrees
With the nearest neighbours (Å) after each atom.
Atoms (fractional coordinates):
F 0.6968 0.4248 0.9015  2 Al 1.85-1.87
F 0.5182 0.8002 0.0131  1 Al 1.78
F 0.0182 0.3002 0.4869  1 Al 1.78
F 0.2401 0.2986 0.1775  1 Al 1.81
F 0.7401 0.7986 0.3225  1 Al 1.81
F 0.7443 0.4404 0.3962  1 Al 1.80
F 0.2685 0.0153 0.8973  1 Al 1.81
F 0.7969 0.6231 0.0961  2 Al 1.84-1.86
F 0.3032 0.5752 0.0985  2 Al 1.85-1.87
F 0.9666 0.7230 0.6896  1 Al 1.79
F 0.2969 0.1231 0.4039  2 Al 1.84-1.86
F 0.2031 0.3769 0.9039  2 Al 1.84-1.86
F 0.7595 0.3403 0.1779  1 Al 1.80
F 0.1968 0.9248 0.5985  2 Al 1.85-1.87
F 0.2599 0.2014 0.6775  1 Al 1.81
F 0.7405 0.1597 0.6779  1 Al 1.80
F 0.7315 0.9847 0.1027  1 Al 1.81
F 0.5472 0.1182 0.2928  1 Al 1.80
F 0.7031 0.8769 0.5961  2 Al 1.84-1.86
F 0.2405 0.6597 0.8221  1 Al 1.80
F 0.7685 0.5153 0.6027  1 Al 1.81
F 0.5002 0.8047 0.4328  1 Al 1.80
F 0.5334 0.7770 0.1896  1 Al 1.79
F 0.2315 0.4847 0.3973  1 Al 1.81
F 0.4818 0.1998 0.9869  1 Al 1.78
F 0.9818 0.6998 0.5131  1 Al 1.78
F 0.4666 0.2230 0.8104  1 Al 1.79
F 0.4528 0.8818 0.7072  1 Al 1.80
F 0.0002 0.3047 0.0672  1 Al 1.80
F 0.7557 0.0596 0.8962  1 Al 1.80
F 0.9528 0.3818 0.7928  1 Al 1.80
F 0.2443 0.9404 0.1038  1 Al 1.80
F 0.8032 0.0752 0.4015  2 Al 1.85-1.87
F 0.7599 0.7014 0.8225  1 Al 1.81
F 0.2557 0.5596 0.6038  1 Al 1.80
F 0.0334 0.2770 0.3104  1 Al 1.79
F 0.9998 0.6953 0.9328  1 Al 1.80
F 0.2595 0.8403 0.3221  1 Al 1.80
F 0.4998 0.1953 0.5672  1 Al 1.80
F 0.0472 0.6182 0.2072  1 Al 1.80
Al 0.4806 0.0397 0.6377  6 F 1.80-1.87
Al 0.0159 0.2842 0.3989  6 F 1.78-1.86
Al 0.5194 0.9603 0.3623  6 F 1.80-1.87
Al 0.9806 0.5397 0.8623  6 F 1.80-1.87
Al 0.9841 0.7158 0.6011  6 F 1.78-1.86
Al 0.5159 0.7842 0.1011  6 F 1.78-1.86
Al 0.4841 0.2158 0.8989  6 F 1.78-1.86
Al 0.0194 0.4603 0.1377  6 F 1.80-1.87
Na 0.4907 0.7346 0.9094  4 F 2.15-2.31
Na 0.9907 0.2346 0.5906  4 F 2.15-2.31
Na 0.5093 0.2654 0.0906  4 F 2.15-2.31
Na 0.0093 0.7654 0.4094  4 F 2.15-2.31
Ba 0.0210 0.0078 0.7779  10 F 2.68-2.87
Ba 0.4790 0.4922 0.2779  10 F 2.68-2.87
Ba 0.9790 0.9922 0.2221  10 F 2.68-2.87
Ba 0.5210 0.5078 0.7221  10 F 2.68-2.87
Sr 0.0000 0.0000 0.0000  6 F 2.49-2.54
Sr 0.5000 0.5000 0.5000  6 F 2.49-2.54

Calculated values
Symmetry ... P2_1/c, No. 14
V ... 12.88 Å³/atom
Final energy ... -647.54 eV per cell

| no. | DOS(E_F) (states/eV per atom) |
| --- | --- |
| 1 | 0.780 |
| 2 | 0.860 |
| 3 | 0.000 |